[1]
Tl2NiB (PBEsol, relaxed); ΔH_f (0 K) = 25.357 kcal/mol of atoms; raw total energy = -3.509 eV/atom; crystal system = cubic
1.0
4.5832 0.0000 0.0000
2.2916 3.9692 0.0000
2.2916 1.3231 3.7422
Tl B Ni
2 1 1
Direct
0.2500 0.2500 0.2500
0.7500 0.7500 0.7500
0.0000 0.0000 0.0000
0.5000 0.5000 0.5000


[2]
KLa7Cu4O16 (PBEsol, relaxed); raw total energy = -7.417 eV/atom; crystal system = tetragonal
1.0
5.3278 0.0000 0.0000
0.0000 5.3278 0.0000
-2.6639 -2.6639 12.8603
O La K Cu
16 7 1 4
Direct
0.7834 0.2834 0.5668
0.6211 0.6211 0.7585
0.5407 0.5407 0.0813
0.8778 0.8778 0.2480
0.1374 0.6211 0.7585
0.8778 0.3702 0.2480
0.9670 0.4670 0.9341
0.1374 0.1374 0.7585
0.3702 0.8778 0.2480
0.3702 0.3702 0.2480
0.0337 0.0337 0.0674
0.7019 0.7019 0.4038
0.2154 0.2154 0.4308
0.6211 0.1374 0.7585
0.4670 0.9670 0.9341
0.2834 0.7834 0.5668
0.4454 0.4454 0.8908
0.1969 0.6969 0.3938
0.6969 0.1969 0.3938
0.3059 0.3059 0.6119
0.5560 0.0560 0.1120
0.0560 0.5560 0.1120
0.9417 0.9417 0.8833
0.8028 0.8028 0.6056
0.3720 0.8720 0.7441
0.8720 0.3720 0.7441
0.1242 0.1242 0.2484
0.6247 0.6247 0.2495


raw total energy of number 1 (Tl2NiB)? -3.509 eV/atom


What is the formula in the second record? KLa7Cu4O16